Computed, not measured: a relaxed CaNb2InF crystal at the PBE level of DFT.

a = 4.4496 Å, b = 4.4496 Å, c = 4.7480 Å
α = 90.00°, β = 90.00°, γ = 90.00°
Last column: nearest neighbours and their distance in Å.
Space group P4/mmm (No. 123)
Asymmetric unit:
1 Ca 0.0000 0.0000 0.0000 [1 per cell]  2 F 2.37
2 Nb 0.0000 0.5000 0.5000 [2 per cell]  2 F 2.22
3 In 0.5000 0.5000 0.0000 [1 per cell]  4 Ca 3.15, 8 Nb 3.25
4 F 0.0000 0.0000 0.5000 [1 per cell]  4 Nb 2.22, 2 Ca 2.37

Results
Energy relative to the elements, uncorrected ... -0.245 eV/atom
Calculated density ... 6354 kg/m³

=====

Computed, not measured: a relaxed CaInPtF2 crystal at the PBE level of DFT.

a = 4.6147 Å, b = 4.6147 Å, c = 5.3720 Å
α = 90.00°, β = 90.00°, γ = 90.00°
Last column: nearest neighbours and their distance in Å.
Space group P4/mmm (No. 123)
Asymmetric unit:
1 Ca 0.0000 0.0000 0.0000 [1 per cell]  2 Pt 2.69
2 In 0.5000 0.5000 0.0000 [1 per cell]  4 Ca 3.26, 8 F 3.54
3 Pt 0.0000 0.0000 0.5000 [1 per cell]  4 F 2.31
4 F 0.0000 0.5000 0.5000 [2 per cell]  2 Pt 2.31

Results
Energy relative to the elements, uncorrected ... -0.670 eV/atom
Calculated density ... 5632 kg/m³
Energy above the most stable polymorph in this dataset ... 1227 meV/atom

=====

Computed, not measured: a relaxed CaInPtF2 crystal at the PBE level of DFT.

a = 4.1599 Å, b = 4.1599 Å, c = 6.2769 Å
α = 90.00°, β = 90.00°, γ = 90.00°
Last column: nearest neighbours and their distance in Å.
Space group P4/mmm (No. 123)
Asymmetric unit:
1 Ca 0.0000 0.0000 0.0000 [1 per cell]  4 F 2.08
2 In 0.5000 0.5000 0.5000 [1 per cell]  4 Pt 2.94
3 Pt 0.0000 0.0000 0.5000 [1 per cell]  4 In 2.94, 2 Ca 3.14
4 F 0.0000 0.5000 0.0000 [2 per cell]  2 Ca 2.08

Results
Energy relative to the elements, uncorrected ... -1.898 eV/atom
Calculated density ... 5931 kg/m³
Energy above the most stable polymorph in this dataset ... 0 meV/atom

=====

Computed, not measured: a relaxed Rb2CaInF6 crystal at the PBE level of DFT.

a = 9.1357 Å, b = 9.1357 Å, c = 9.1357 Å
α = 90.00°, β = 90.00°, γ = 90.00°
Last column: nearest neighbours and their distance in Å.
Space group Fm-3m (No. 225)
Asymmetric unit:
1 Rb 0.2500 0.2500 0.2500 [8 per cell]  12 F 3.23
2 Ca 0.0000 0.0000 0.0000 [4 per cell]  6 F 2.26
3 In 0.0000 0.0000 0.5000 [4 per cell]  6 F 2.31
4 F 0.0000 0.0000 0.2473 [24 per cell]  1 Ca 2.26, 1 In 2.31

Results
Energy relative to the elements, uncorrected ... -2.885 eV/atom
Calculated density ... 3831 kg/m³

=====

Computed, not measured: a relaxed CaInSe2F crystal at the PBE level of DFT.

a = 5.4859 Å, b = 5.4859 Å, c = 4.0676 Å
α = 90.00°, β = 90.00°, γ = 90.00°
Last column: nearest neighbours and their distance in Å.
Space group P4/mmm (No. 123)
Asymmetric unit:
1 Ca 0.0000 0.0000 0.0000 [1 per cell]  8 Se 3.41
2 In 0.5000 0.5000 0.0000 [1 per cell]  2 F 2.03
3 Se 0.0000 0.5000 0.5000 [2 per cell]  2 F 2.74
4 F 0.5000 0.5000 0.5000 [1 per cell]  2 In 2.03

Results
Energy relative to the elements, uncorrected ... -0.758 eV/atom
Calculated density ... 4501 kg/m³

=====

Computed, not measured: a relaxed SrCa2InF crystal at the PBE level of DFT.

a = 5.0801 Å, b = 5.0801 Å, c = 5.1912 Å
α = 90.00°, β = 90.00°, γ = 90.00°
Last column: nearest neighbours and their distance in Å.
Space group P4/mmm (No. 123)
Asymmetric unit:
1 Sr 0.0000 0.0000 0.0000 [1 per cell]  2 F 2.60
2 Ca 0.0000 0.5000 0.5000 [2 per cell]  2 F 2.54
3 In 0.5000 0.5000 0.0000 [1 per cell]  4 Sr 3.59, 8 Ca 3.63
4 F 0.0000 0.0000 0.5000 [1 per cell]  4 Ca 2.54, 2 Sr 2.60

Results
Energy relative to the elements, uncorrected ... -1.265 eV/atom
Calculated density ... 3738 kg/m³

=====

Computed, not measured: a relaxed CaTl2In3F12 crystal at the PBE level of DFT.

a = 8.1361 Å, b = 8.1361 Å, c = 20.0076 Å
α = 90.00°, β = 90.00°, γ = 120.00°
Last column: nearest neighbours and their distance in Å.
Space group R-3m (No. 166, hexagonal axes)
Asymmetric unit:
1 Ca 0.0000 0.0000 0.0000 [3 per cell]  6 F 2.28
2 Tl 0.0000 0.0000 0.3179 [6 per cell]  6 F 2.93-3.07
3 In 0.0000 0.5000 0.5000 [9 per cell]  6 F 2.14-2.16
4 F 0.0612 0.5306 0.6048 [18 per cell]  1 In 2.14, 1 Ca 2.28
5 F 0.0892 0.5446 0.8575 [18 per cell]  2 In 2.16

Results
Energy relative to the elements, uncorrected ... -2.523 eV/atom
Calculated density ... 4436 kg/m³

=====

Computed, not measured: a relaxed CaTlInF6 crystal at the PBE level of DFT.

a = 7.9488 Å, b = 8.0866 Å, c = 11.6244 Å
α = 90.00°, β = 90.00°, γ = 90.00°
Last column: nearest neighbours and their distance in Å.
Space group Imma (No. 74)
Asymmetric unit:
1 Ca 0.2500 0.2500 0.2500 [4 per cell]  6 F 2.25-2.26
2 Tl 0.0000 0.2500 0.5542 [4 per cell]  1 F 2.47
3 In 0.0000 0.0000 0.0000 [4 per cell]  6 F 2.09-2.13
4 F 0.0000 0.2500 0.3415 [4 per cell]  2 Ca 2.25, 1 Tl 2.47
5 F 0.0000 0.2500 0.9415 [4 per cell]  2 In 2.13
6 F 0.1917 0.0534 0.1175 [16 per cell]  1 In 2.09, 1 Ca 2.26

Results
Energy relative to the elements, uncorrected ... -2.824 eV/atom
Calculated density ... 4207 kg/m³